Material: Rb2NaScCl6
Method: DFT, meta-GGA SCAN
State: PBEsol geometry

Its uncorrected formation energy is -2294 meV/atom. Its density is 2.75 g/cm³.

abc: 10.2993 10.2993 10.2993
angles: 90.00 90.00 90.00
With the nearest neighbours (Å) after each atom.
Space group Fm-3m (No. 225)
Inequivalent atoms, fractional coordinates:
Rb: 0.2500 0.2500 0.2500 [8 per cell]  12 Cl 3.64
Na: 0.0000 0.0000 0.0000 [4 per cell]  6 Cl 2.69
Sc: 0.0000 0.0000 0.5000 [4 per cell]  6 Cl 2.46
Cl: 0.0000 0.0000 0.2609 [24 per cell]  1 Sc 2.46, 1 Na 2.69